--- w ---
Computed, not measured: ScZnCr after structural relaxation at the PBE-GGA level of DFT. Values from VASP.

Summary:
- Space group: I4mm, No. 107
- Mass density: 5.7 Mg/m³
- Total moment: 0.00 μB per formula unit

The structure in Quantum ESPRESSO input format:
```
&SYSTEM
  ibrav = 0, nat = 3, ntyp = 3
/
ATOMIC_SPECIES
Sc 44.96 Sc.upf
Zn 65.41 Zn.upf
Cr 52.00 Cr.upf
ATOMIC_POSITIONS angstrom
Sc 0.000 0.000 0.000
Zn 0.000 0.000 8.462
Cr 0.000 0.000 4.103
CELL_PARAMETERS angstrom
-1.379 1.379 6.200
1.379 -1.379 6.200
1.379 1.379 -6.200
```


--- x ---
Computed, not measured: ScZnCr after structural relaxation at the PBE-GGA level of DFT. Values from VASP.

Summary:
- Space group: I4mm, No. 107
- Mass density: 5.3 Mg/m³
- Total moment: 2.94 μB per formula unit

The structure in Quantum ESPRESSO input format:
```
&SYSTEM
  ibrav = 0, nat = 3, ntyp = 3
/
ATOMIC_SPECIES
Sc 44.96 Sc.upf
Zn 65.41 Zn.upf
Cr 52.00 Cr.upf
ATOMIC_POSITIONS angstrom
Sc 0.000 0.000 0.000
Zn 0.000 0.000 3.034
Cr 0.000 0.000 6.551
CELL_PARAMETERS angstrom
-1.624 1.624 4.851
1.624 -1.624 4.851
1.624 1.624 -4.851
```


Most stable of them? x.


--- w ---
Computed, not measured: ScZnCr after structural relaxation at the PBE-GGA level of DFT. Values from VASP.

Summary:
- Space group: F-43m, No. 216
- Mass density: 4.4 Mg/m³
- Total moment: 3.18 μB per formula unit

The structure in Quantum ESPRESSO input format:
```
&SYSTEM
  ibrav = 0, nat = 3, ntyp = 3
/
ATOMIC_SPECIES
Sc 44.96 Sc.upf
Zn 65.41 Zn.upf
Cr 52.00 Cr.upf
ATOMIC_POSITIONS angstrom
Sc 0.000 0.000 0.000
Zn 4.678 4.678 4.678
Cr 3.119 3.119 3.119
CELL_PARAMETERS angstrom
0.000 3.119 3.119
3.119 0.000 3.119
3.119 3.119 0.000
```


--- x ---
Computed, not measured: ScZnCr after structural relaxation at the PBE-GGA level of DFT. Values from VASP.

Summary:
- Space group: F-43m, No. 216
- Mass density: 4.2 Mg/m³
- Total moment: 3.39 μB per formula unit

The structure in Quantum ESPRESSO input format:
```
&SYSTEM
  ibrav = 0, nat = 3, ntyp = 3
/
ATOMIC_SPECIES
Sc 44.96 Sc.upf
Zn 65.41 Zn.upf
Cr 52.00 Cr.upf
ATOMIC_POSITIONS angstrom
Sc 0.000 0.000 0.000
Zn 1.583 1.583 1.583
Cr 4.748 4.748 4.748
CELL_PARAMETERS angstrom
0.000 3.166 3.166
3.166 0.000 3.166
3.166 3.166 0.000
```


Most stable of them? w.


--- w ---
Computed, not measured: ScZnCr after structural relaxation at the PBE-GGA level of DFT. Values from VASP.

Summary:
- Space group: P-6m2, No. 187
- Mass density: 5.0 Mg/m³
- Total moment: 3.47 μB per formula unit

The structure in Quantum ESPRESSO input format:
```
&SYSTEM
  ibrav = 0, nat = 3, ntyp = 3
/
ATOMIC_SPECIES
Sc 44.96 Sc.upf
Zn 65.41 Zn.upf
Cr 52.00 Cr.upf
ATOMIC_POSITIONS angstrom
Sc 0.000 0.000 0.000
Zn 2.249 1.298 1.545
Cr 0.000 2.597 1.545
CELL_PARAMETERS angstrom
4.498 0.000 0.000
-2.249 3.895 0.000
0.000 0.000 3.090
```


--- x ---
Computed, not measured: ScZnCr after structural relaxation at the PBE-GGA level of DFT. Values from VASP.

Summary:
- Space group: P3m1, No. 156
- Mass density: 5.2 Mg/m³
- Total moment: 1.71 μB per formula unit

The structure in Quantum ESPRESSO input format:
```
&SYSTEM
  ibrav = 0, nat = 3, ntyp = 3
/
ATOMIC_SPECIES
Sc 44.96 Sc.upf
Zn 65.41 Zn.upf
Cr 52.00 Cr.upf
ATOMIC_POSITIONS angstrom
Sc 0.000 0.000 0.000
Zn 1.515 0.875 2.400
Cr 0.000 1.749 4.407
CELL_PARAMETERS angstrom
3.029 0.000 0.000
-1.515 2.624 0.000
0.000 0.000 6.523
```


Most stable of them? w.


--- w ---
Computed, not measured: Cr2Se after structural relaxation at the PBE-GGA level of DFT. Values from VASP.

Summary:
- Space group: P-62m, No. 189
- Mass density: 6.9 Mg/m³
- Total moment: 1.01 μB per formula unit

The structure in Quantum ESPRESSO input format:
```
&SYSTEM
  ibrav = 0, nat = 9, ntyp = 2
/
ATOMIC_SPECIES
Cr 52.00 Cr.upf
Se 78.96 Se.upf
ATOMIC_POSITIONS angstrom
Cr -0.796 1.378 0.000
Cr -1.910 3.308 1.895
Cr 1.591 0.000 0.000
Cr 1.264 2.189 1.895
Cr 3.820 0.000 1.895
Cr 2.378 4.119 0.000
Se 0.000 0.000 1.895
Se 0.000 3.664 0.000
Se 3.174 1.832 0.000
CELL_PARAMETERS angstrom
6.347 0.000 0.000
-3.174 5.497 0.000
0.000 0.000 3.791
```


--- x ---
Computed, not measured: Cr2Se after structural relaxation at the PBE-GGA level of DFT. Values from VASP.

Summary:
- Space group: Cmcm, No. 63
- Mass density: 6.7 Mg/m³
- Total moment: 1.01 μB per formula unit

The structure in Quantum ESPRESSO input format:
```
&SYSTEM
  ibrav = 0, nat = 6, ntyp = 2
/
ATOMIC_SPECIES
Cr 52.00 Cr.upf
Se 78.96 Se.upf
ATOMIC_POSITIONS angstrom
Cr 1.861 5.272 2.692
Cr 1.861 3.386 0.897
Cr 1.861 -3.386 2.692
Cr 1.861 -5.272 0.897
Se 1.861 1.484 2.692
Se 1.861 -1.484 0.897
CELL_PARAMETERS angstrom
1.861 -6.753 0.000
1.861 6.753 0.000
0.000 0.000 3.590
```


--- y ---
Computed, not measured: Cr2Se after structural relaxation at the PBE-GGA level of DFT. Values from VASP.

Summary:
- Space group: C2/m, No. 12
- Mass density: 5.8 Mg/m³
- Total moment: 0.00 μB per formula unit

The structure in Quantum ESPRESSO input format:
```
&SYSTEM
  ibrav = 0, nat = 6, ntyp = 2
/
ATOMIC_SPECIES
Cr 52.00 Cr.upf
Se 78.96 Se.upf
ATOMIC_POSITIONS angstrom
Cr -0.523 0.000 3.085
Cr 1.671 0.000 3.839
Cr 3.940 0.000 5.100
Cr 6.134 0.000 5.854
Se 0.517 0.000 7.088
Se 5.095 0.000 1.850
CELL_PARAMETERS angstrom
3.995 -1.473 0.000
3.995 1.473 0.000
-2.379 0.000 8.938
```


Most stable of them? y.


--- w ---
Computed, not measured: Cr2Se after structural relaxation at the PBE-GGA level of DFT. Values from VASP.

Summary:
- Space group: I4/mmm, No. 139
- Mass density: 7.8 Mg/m³
- Total moment: 0.00 μB per formula unit

The structure in Quantum ESPRESSO input format:
```
&SYSTEM
  ibrav = 0, nat = 3, ntyp = 2
/
ATOMIC_SPECIES
Cr 52.00 Cr.upf
Se 78.96 Se.upf
ATOMIC_POSITIONS angstrom
Cr 0.000 0.000 1.475
Cr 0.000 0.000 7.070
Se 0.000 0.000 4.272
CELL_PARAMETERS angstrom
-1.513 1.513 4.272
1.513 -1.513 4.272
1.513 1.513 -4.272
```


--- x ---
Computed, not measured: Cr2Se after structural relaxation at the PBE-GGA level of DFT. Values from VASP.

Summary:
- Space group: I4_1/amd, No. 141
- Mass density: 6.5 Mg/m³
- Total moment: 1.78 μB per formula unit

The structure in Quantum ESPRESSO input format:
```
&SYSTEM
  ibrav = 0, nat = 12, ntyp = 2
/
ATOMIC_SPECIES
Cr 52.00 Cr.upf
Se 78.96 Se.upf
ATOMIC_POSITIONS angstrom
Cr 1.918 0.959 -3.227
Cr 1.918 0.959 1.428
Cr 0.000 0.959 3.148
Cr 1.918 0.959 4.947
Cr 0.000 0.959 7.802
Cr 1.918 0.959 9.602
Cr 0.000 0.959 11.322
Cr 0.000 0.959 15.977
Se 1.918 -0.959 7.833
Se 1.918 -0.959 11.291
Se 0.000 2.877 1.459
Se 0.000 2.877 4.916
CELL_PARAMETERS angstrom
-1.918 1.918 12.750
1.918 -1.918 12.750
1.918 1.918 -12.750
```


Most stable of them? x.